1.
This record from Alexandria via LeMat-Bulk describes a relaxed structure of Ca4TmZn5. The functional is PBE.

a b c (Å): 3.635 3.635 18.296
angles (deg): 90.00 90.00 90.00
Atoms (fractional coordinates):
Ca1 0.000 0.000 0.102
Ca2 0.000 0.000 0.305
Ca3 0.000 0.000 0.695
Ca4 0.000 0.000 0.898
Tm1 0.000 0.000 0.500
Zn1 0.500 0.500 0.000
Zn2 0.500 0.500 0.203
Zn3 0.500 0.500 0.411
Zn4 0.500 0.500 0.589
Zn5 0.500 0.500 0.797

Properties
Energy of formation from the pure elements (eV/atom): -0.260
Space-group type: P4/mmm, No. 123


2.
This record from Alexandria via LeMat-Bulk describes a relaxed structure of Sr2GeHPd. The functional is PBE.

a b c (Å): 5.480 5.480 3.693
angles (deg): 90.00 90.00 90.00
Atoms (fractional coordinates):
Sr1 0.000 0.500 0.000
Sr2 0.500 0.000 0.000
Ge1 0.000 0.000 0.500
H1 0.500 0.500 0.000
Pd1 0.500 0.500 0.500

Properties
Space-group type: P4/mmm, No. 123
Excess energy over the best structure of this formula in the dataset (meV per atom): 0


3.
This record from Alexandria via LeMat-Bulk describes a relaxed structure of SrFeAs. The functional is PBE.

a b c (Å): 4.743 4.743 4.743
angles (deg): 60.00 60.00 60.00
Atoms (fractional coordinates):
Sr1 0.000 0.000 0.000
Fe1 0.500 0.500 0.500
As1 0.250 0.250 0.250

Properties
Energy of formation from the pure elements (eV/atom): -0.025
Space-group type: F-43m, No. 216